CsTaMoO6 (PBE+U, relaxed); D(E_F) = 0.0 states/eV/f.u.; symmetry = No. 74; VASP energy = -7.734 eV per atom
1.0
7.456 0.000 0.000
0.000 7.414 0.000
-3.728 -3.707 5.263
O Ta Mo Cs
12 2 2 2
Direct
0.558 0.308 0.116
0.195 0.315 0.755
0.805 0.061 0.245
0.559 0.315 0.755
0.559 0.939 0.755
0.195 0.939 0.755
0.187 0.937 0.375
0.805 0.685 0.245
0.813 0.063 0.625
0.441 0.061 0.245
0.442 0.692 0.884
0.441 0.685 0.245
0.500 0.000 0.500
0.000 0.000 0.500
0.500 0.500 0.000
0.500 0.000 0.000
0.122 0.372 0.244
0.878 0.628 0.756